# 1
Mn4SeCl: relaxed, PBE.

Geometry as CIF:
```
data_Mn4SeCl
_cell_length_a 7.6615
_cell_length_b 7.6615
_cell_length_c 7.6615
_cell_angle_alpha 90.00
_cell_angle_beta 90.00
_cell_angle_gamma 90.00
_symmetry_space_group_name_H-M 'F -4 3 m'
_symmetry_Int_Tables_number 216
_symmetry_space_group_name_Hall 'F -4 2 3'
loop_
_atom_site_label
_atom_site_type_symbol
_atom_site_fract_x
_atom_site_fract_y
_atom_site_fract_z
Mn1 Mn 0.1246 0.1246 0.1246
Se1 Se 0.2500 0.2500 0.7500
Cl1 Cl 0.0000 0.0000 0.5000
```

# 2
MnSeCl2: relaxed, PBE.

Geometry as CIF:
```
data_MnSeCl2
_cell_length_a 3.4525
_cell_length_b 5.2201
_cell_length_c 13.6586
_cell_angle_alpha 90.00
_cell_angle_beta 90.00
_cell_angle_gamma 90.00
_symmetry_space_group_name_H-M 'I m m 2'
_symmetry_Int_Tables_number 44
loop_
_symmetry_equiv_pos_as_xyz
'x,y,z'
'-x,-y,z'
'-x,y,z'
'x,-y,z'
'x+1/2,y+1/2,z+1/2'
'-x+1/2,-y+1/2,z+1/2'
'-x+1/2,y+1/2,z+1/2'
'x+1/2,-y+1/2,z+1/2'
loop_
_atom_site_label
_atom_site_type_symbol
_atom_site_fract_x
_atom_site_fract_y
_atom_site_fract_z
Mn1 Mn 0.0000 0.0000 0.0000
Se1 Se 0.0000 0.5000 0.3720
Cl1 Cl 0.0000 0.0000 0.4027
Cl2 Cl 0.0000 0.5000 0.6194
```

Values from the calculation:
Polymorph energy (0 for the lowest one) (meV/atom): 105

# 3
Mn3SeCl: relaxed, PBE.

Geometry as CIF:
```
data_Mn3SeCl
_cell_length_a 4.7598
_cell_length_b 4.7598
_cell_length_c 4.7598
_cell_angle_alpha 90.00
_cell_angle_beta 90.00
_cell_angle_gamma 90.00
_symmetry_space_group_name_H-M 'P m -3 m'
_symmetry_Int_Tables_number 221
_symmetry_space_group_name_Hall '-P 4 2 3'
loop_
_atom_site_label
_atom_site_type_symbol
_atom_site_fract_x
_atom_site_fract_y
_atom_site_fract_z
Mn1 Mn 0.0000 0.0000 0.5000
Se1 Se 0.0000 0.0000 0.0000
Cl1 Cl 0.5000 0.5000 0.5000
```

Values from the calculation:
Polymorph energy (0 for the lowest one) (meV/atom): 0

# 4
MnSeCl2: relaxed, PBE.

Geometry as CIF:
```
data_MnSeCl2
_cell_length_a 3.3397
_cell_length_b 4.2671
_cell_length_c 5.7904
_cell_angle_alpha 90.00
_cell_angle_beta 90.00
_cell_angle_gamma 90.00
_symmetry_space_group_name_H-M 'P m m m'
_symmetry_Int_Tables_number 47
loop_
_symmetry_equiv_pos_as_xyz
'x,y,z'
'-x,-y,-z'
'-x,-y,z'
'x,y,-z'
'x,-y,-z'
'-x,y,z'
'-x,y,-z'
'x,-y,z'
loop_
_atom_site_label
_atom_site_type_symbol
_atom_site_fract_x
_atom_site_fract_y
_atom_site_fract_z
Mn1 Mn 0.0000 0.0000 0.0000
Se1 Se 0.5000 0.0000 0.5000
Cl1 Cl 0.0000 0.5000 0.5000
Cl2 Cl 0.5000 0.5000 0.0000
```

Values from the calculation:
Polymorph energy (0 for the lowest one) (meV/atom): 614

# 5
MnSeCl2: relaxed, PBE.

Geometry as CIF:
```
data_MnSeCl2
_cell_length_a 12.5841
_cell_length_b 3.2246
_cell_length_c 5.7411
_cell_angle_alpha 90.00
_cell_angle_beta 104.69
_cell_angle_gamma 90.00
_symmetry_space_group_name_H-M 'C 1 m 1'
_symmetry_Int_Tables_number 8
loop_
_symmetry_equiv_pos_as_xyz
'x,y,z'
'x,-y,z'
'x+1/2,y+1/2,z'
'x+1/2,-y+1/2,z'
loop_
_atom_site_label
_atom_site_type_symbol
_atom_site_fract_x
_atom_site_fract_y
_atom_site_fract_z
Mn1 Mn 0.0000 0.0000 0.0000
Se1 Se 0.3830 0.0000 0.7381
Cl1 Cl 0.1441 0.5000 0.0241
Cl2 Cl 0.4565 0.0000 0.3050
```

Values from the calculation:
Polymorph energy (0 for the lowest one) (meV/atom): 69

# 6
MnSeCl2: relaxed, PBE.

Geometry as CIF:
```
data_MnSeCl2
_cell_length_a 6.1478
_cell_length_b 8.3895
_cell_length_c 4.5875
_cell_angle_alpha 90.00
_cell_angle_beta 131.90
_cell_angle_gamma 90.00
_symmetry_space_group_name_H-M 'C 1 2/m 1'
_symmetry_Int_Tables_number 12
loop_
_symmetry_equiv_pos_as_xyz
'x,y,z'
'-x,-y,-z'
'-x,y,-z'
'x,-y,z'
'x+1/2,y+1/2,z'
'-x+1/2,-y+1/2,-z'
'-x+1/2,y+1/2,-z'
'x+1/2,-y+1/2,z'
loop_
_atom_site_label
_atom_site_type_symbol
_atom_site_fract_x
_atom_site_fract_y
_atom_site_fract_z
Mn1 Mn 0.0000 0.0000 0.0000
Se1 Se 0.0000 0.5000 0.0000
Cl1 Cl 0.2500 0.2500 0.5000
```

Values from the calculation:
Polymorph energy (0 for the lowest one) (meV/atom): 521

# 7
MnSeCl2: relaxed, PBE.

Geometry as CIF:
```
data_MnSeCl2
_cell_length_a 6.2416
_cell_length_b 7.9837
_cell_length_c 3.2523
_cell_angle_alpha 90.00
_cell_angle_beta 90.00
_cell_angle_gamma 90.00
_symmetry_space_group_name_H-M 'C m m m'
_symmetry_Int_Tables_number 65
_symmetry_space_group_name_Hall '-C 2 2'
loop_
_atom_site_label
_atom_site_type_symbol
_atom_site_fract_x
_atom_site_fract_y
_atom_site_fract_z
Mn1 Mn 0.0000 0.0000 0.0000
Se1 Se 0.0000 0.5000 0.0000
Cl1 Cl 0.2500 0.2500 0.5000
```

Values from the calculation:
Polymorph energy (0 for the lowest one) (meV/atom): 904

# 8
MnSeCl2: relaxed, PBE.

Geometry as CIF:
```
data_MnSeCl2
_cell_length_a 6.6942
_cell_length_b 6.6942
_cell_length_c 9.2499
_cell_angle_alpha 90.00
_cell_angle_beta 90.00
_cell_angle_gamma 90.00
_symmetry_space_group_name_H-M 'I -4 2 d'
_symmetry_Int_Tables_number 122
_symmetry_space_group_name_Hall 'I -4 2bw'
loop_
_atom_site_label
_atom_site_type_symbol
_atom_site_fract_x
_atom_site_fract_y
_atom_site_fract_z
Mn1 Mn 0.0000 0.0000 0.0000
Se1 Se 0.0000 0.0000 0.5000
Cl1 Cl 0.1012 0.2500 0.1250
```

Values from the calculation:
Polymorph energy (0 for the lowest one) (meV/atom): 946

# 9
MnSeCl2: relaxed, PBE.

Geometry as CIF:
```
data_MnSeCl2
_cell_length_a 3.2628
_cell_length_b 3.2628
_cell_length_c 8.1996
_cell_angle_alpha 90.00
_cell_angle_beta 90.00
_cell_angle_gamma 90.00
_symmetry_space_group_name_H-M 'P 4 m m'
_symmetry_Int_Tables_number 99
loop_
_symmetry_equiv_pos_as_xyz
'x,y,z'
'-y,x,z'
'-x,-y,z'
'y,-x,z'
'-x,y,z'
'y,x,z'
'x,-y,z'
'-y,-x,z'
loop_
_atom_site_label
_atom_site_type_symbol
_atom_site_fract_x
_atom_site_fract_y
_atom_site_fract_z
Mn1 Mn 0.0000 0.0000 0.0000
Se1 Se 0.5000 0.5000 0.1680
Cl1 Cl 0.0000 0.0000 0.3929
Cl2 Cl 0.5000 0.5000 0.8063
```

Values from the calculation:
Polymorph energy (0 for the lowest one) (meV/atom): 477

# 10
MnSeCl2: relaxed, PBE.

Geometry as CIF:
```
data_MnSeCl2
_cell_length_a 3.0784
_cell_length_b 3.0784
_cell_length_c 11.2607
_cell_angle_alpha 90.00
_cell_angle_beta 90.00
_cell_angle_gamma 90.00
_symmetry_space_group_name_H-M 'P 4/m m m'
_symmetry_Int_Tables_number 123
_symmetry_space_group_name_Hall '-P 4 2'
loop_
_atom_site_label
_atom_site_type_symbol
_atom_site_fract_x
_atom_site_fract_y
_atom_site_fract_z
Mn1 Mn 0.0000 0.0000 0.0000
Se1 Se 0.0000 0.0000 0.5000
Cl1 Cl 0.5000 0.5000 0.1371
```

Values from the calculation:
Polymorph energy (0 for the lowest one) (meV/atom): 322

# 11
MnSeCl2: relaxed, PBE.

Geometry as CIF:
```
data_MnSeCl2
_cell_length_a 3.9278
_cell_length_b 4.8217
_cell_length_c 11.2733
_cell_angle_alpha 90.00
_cell_angle_beta 90.00
_cell_angle_gamma 90.00
_symmetry_space_group_name_H-M 'C m m m'
_symmetry_Int_Tables_number 65
_symmetry_space_group_name_Hall '-C 2 2'
loop_
_atom_site_label
_atom_site_type_symbol
_atom_site_fract_x
_atom_site_fract_y
_atom_site_fract_z
Mn1 Mn 0.0000 0.0000 0.0000
Se1 Se 0.0000 0.0000 0.5000
Cl1 Cl 0.0000 0.5000 0.1392
```

Values from the calculation:
Polymorph energy (0 for the lowest one) (meV/atom): 318

# 12
MnSeCl2: relaxed, PBE.

Geometry as CIF:
```
data_MnSeCl2
_cell_length_a 3.3760
_cell_length_b 7.1118
_cell_length_c 8.7628
_cell_angle_alpha 90.00
_cell_angle_beta 90.00
_cell_angle_gamma 90.00
_symmetry_space_group_name_H-M 'C m m 2'
_symmetry_Int_Tables_number 35
loop_
_symmetry_equiv_pos_as_xyz
'x,y,z'
'-x,-y,z'
'-x,y,z'
'x,-y,z'
'x+1/2,y+1/2,z'
'-x+1/2,-y+1/2,z'
'-x+1/2,y+1/2,z'
'x+1/2,-y+1/2,z'
loop_
_atom_site_label
_atom_site_type_symbol
_atom_site_fract_x
_atom_site_fract_y
_atom_site_fract_z
Mn1 Mn 0.0000 0.0000 0.0000
Se1 Se 0.0000 0.5000 0.1971
Cl1 Cl 0.0000 0.0000 0.4455
Cl2 Cl 0.0000 0.5000 0.8157
```

Values from the calculation:
Polymorph energy (0 for the lowest one) (meV/atom): 359

# 13
MnSeCl2: relaxed, PBE.

Geometry as CIF:
```
data_MnSeCl2
_cell_length_a 3.7927
_cell_length_b 3.7927
_cell_length_c 7.9882
_cell_angle_alpha 90.00
_cell_angle_beta 90.00
_cell_angle_gamma 90.00
_symmetry_space_group_name_H-M 'P 4 m m'
_symmetry_Int_Tables_number 99
loop_
_symmetry_equiv_pos_as_xyz
'x,y,z'
'-y,x,z'
'-x,-y,z'
'y,-x,z'
'-x,y,z'
'y,x,z'
'x,-y,z'
'-y,-x,z'
loop_
_atom_site_label
_atom_site_type_symbol
_atom_site_fract_x
_atom_site_fract_y
_atom_site_fract_z
Mn1 Mn 0.0000 0.0000 0.0000
Se1 Se 0.5000 0.5000 0.9183
Cl1 Cl 0.0000 0.0000 0.2734
Cl2 Cl 0.5000 0.5000 0.6421
```

Values from the calculation:
Polymorph energy (0 for the lowest one) (meV/atom): 220

# 14
MnSeCl2: relaxed, PBE.

Geometry as CIF:
```
data_MnSeCl2
_cell_length_a 4.7980
_cell_length_b 4.7980
_cell_length_c 6.8093
_cell_angle_alpha 90.00
_cell_angle_beta 90.00
_cell_angle_gamma 90.00
_symmetry_space_group_name_H-M 'I -4 m 2'
_symmetry_Int_Tables_number 119
_symmetry_space_group_name_Hall 'I -4 -2'
loop_
_atom_site_label
_atom_site_type_symbol
_atom_site_fract_x
_atom_site_fract_y
_atom_site_fract_z
Mn1 Mn 0.0000 0.0000 0.0000
Se1 Se 0.0000 0.5000 0.7500
Cl1 Cl 0.0000 0.0000 0.5000
Cl2 Cl 0.0000 0.5000 0.2500
```

Values from the calculation:
Polymorph energy (0 for the lowest one) (meV/atom): 772

# 15
MnSeCl2: relaxed, PBE.

Geometry as CIF:
```
data_MnSeCl2
_cell_length_a 5.2354
_cell_length_b 3.1773
_cell_length_c 7.0159
_cell_angle_alpha 90.00
_cell_angle_beta 111.77
_cell_angle_gamma 90.00
_symmetry_space_group_name_H-M 'P 1 2/m 1'
_symmetry_Int_Tables_number 10
loop_
_symmetry_equiv_pos_as_xyz
'x,y,z'
'-x,-y,-z'
'-x,y,-z'
'x,-y,z'
loop_
_atom_site_label
_atom_site_type_symbol
_atom_site_fract_x
_atom_site_fract_y
_atom_site_fract_z
Mn1 Mn 0.0000 0.0000 0.0000
Se1 Se 0.5000 0.0000 0.0000
Cl1 Cl 0.1316 0.5000 0.2649
```

Values from the calculation:
Polymorph energy (0 for the lowest one) (meV/atom): 98

Number 1: E -6.44 eV per atom. Number 2: E -4.58 eV per atom. Number 3: E -6.08 eV per atom. Number 4: E -4.07 eV per atom. Number 5: E -4.62 eV per atom. Number 6: E -4.16 eV per atom. Number 7: E -3.78 eV per atom. Number 8: E -3.74 eV per atom. Number 9: E -4.21 eV per atom. Number 10: E -4.36 eV per atom. Number 11: E -4.37 eV per atom. Number 12: E -4.33 eV per atom. Number 13: E -4.46 eV per atom. Number 14: E -3.91 eV per atom. Number 15: E -4.59 eV per atom.